Entry 1:
The following is a DFT calculation (PBE-GGA) of B2HBrCl after structural relaxation.

Results
DOS(E_F) in states/eV/f.u.: 1.41
Calculated density in g cm⁻³: 2.59
Uncorrected energy in eV/cell: -11.28

POSCAR file:
```
B2HBrCl
1.0
5.1214 0.0000 0.0000
0.0000 5.1214 0.0000
0.0000 0.0000 3.3786
B H Br Cl
2 1 1 1
Cartesian
0.0000 2.5607 0.0000 B
2.5607 0.0000 0.0000 B
0.0000 0.0000 1.6893 H
0.0000 0.0000 0.0000 Br
2.5607 2.5607 1.6893 Cl
```

Entry 2:
The following is a DFT calculation (PBE-GGA) of H3OsPt after structural relaxation.

Results
E above lowest polymorph in eV/f.u.: 0.00
DOS(E_F) in states/eV/f.u.: 2.63
Calculated density in g cm⁻³: 15.63
Uncorrected energy in eV/cell: -24.48

POSCAR file:
```
H3OsPt
1.0
3.4557 0.0000 0.0000
0.0000 3.4557 0.0000
0.0000 0.0000 3.4557
H Os Pt
3 1 1
Cartesian
0.0000 0.0000 1.7279 H
0.0000 1.7279 0.0000 H
1.7279 0.0000 0.0000 H
0.0000 0.0000 0.0000 Os
1.7279 1.7279 1.7279 Pt
```

Entry 3:
The following is a DFT calculation (PBE-GGA) of VSbAsBr2 after structural relaxation.

Results
E above lowest polymorph in eV/f.u.: 0.00
DOS(E_F) in states/eV/f.u.: 3.31
Calculated density in g cm⁻³: 5.29
Uncorrected energy in eV/cell: -20.58
Raw formation energy in eV per atom: 0.13

POSCAR file:
```
VSbAsBr2
1.0
4.9284 0.0000 0.0000
0.0000 4.9284 0.0000
0.0000 0.0000 5.2622
V Sb As Br
1 1 1 2
Cartesian
0.0000 0.0000 0.0000 V
2.4642 2.4642 2.6311 Sb
0.0000 0.0000 2.6311 As
0.0000 2.4642 0.0000 Br
2.4642 0.0000 0.0000 Br
```

Entry 4:
The following is a DFT calculation (PBE-GGA) of CeDyHo5Er2 after structural relaxation.

Results
ΔH_f (0 K) in eV/atom: 0.173
DOS(E_F) in states/eV/f.u.: 15.47
Calculated density in g cm⁻³: 8.47
Uncorrected energy in eV/cell: -81.98

POSCAR file:
```
CeDyHo5Er2
1.0
2.8258 -10.6636 0.0000
2.8258 10.6636 0.0000
0.0000 0.0000 9.5056
Ce Dy Ho Er
2 2 10 4
Cartesian
2.8258 6.5771 4.7528 Ce
2.8258 -6.5771 0.0000 Ce
2.8258 2.0657 8.6103 Dy
2.8258 -2.0657 3.8575 Dy
2.8258 10.3687 4.6752 Ho
2.8258 4.9662 7.7044 Ho
2.8258 4.1408 1.8283 Ho
2.8258 2.2581 4.9660 Ho
2.8258 0.6190 2.1460 Ho
2.8258 -0.6190 6.8988 Ho
2.8258 -2.2581 0.2132 Ho
2.8258 -4.1408 6.5811 Ho
2.8258 -4.9662 2.9516 Ho
2.8258 -10.3687 9.4280 Ho
2.8258 8.2424 7.6172 Er
2.8258 7.8239 1.7734 Er
2.8258 -7.8239 6.5262 Er
2.8258 -8.2424 2.8644 Er
```

Entry 5:
The following is a DFT calculation (PBE-GGA) of BaNiCl2 after structural relaxation.

Results
E above lowest polymorph in eV/f.u.: 1.29
DOS(E_F) in states/eV/f.u.: 2.60
Calculated density in g cm⁻³: 4.55
Uncorrected energy in eV/cell: -15.26
Raw formation energy in eV per atom: -0.97

POSCAR file:
```
BaNiCl2
1.0
4.0145 0.0000 0.0000
0.0000 3.8675 0.0000
-0.0083 0.0000 6.2793
Ba Ni Cl
1 1 2
Cartesian
0.0000 0.0000 0.0000 Ba
2.0031 0.0000 3.1396 Ni
2.0070 1.9337 1.6456 Cl
1.9992 1.9337 4.6337 Cl
```

Entry 6:
The following is a DFT calculation (PBE-GGA) of BiHO after structural relaxation.

Results
Calculated density in g cm⁻³: 7.09
Uncorrected energy in eV/cell: -57.73

POSCAR file:
```
BiHO
1.0
4.4455 0.0000 0.0000
0.0000 4.7664 0.0000
0.0000 0.0000 9.9978
Bi H O
4 4 4
Cartesian
1.0959 1.1916 1.4123 Bi
1.1269 3.5748 6.4112 Bi
3.3186 1.1916 3.5866 Bi
3.3496 3.5748 8.5855 Bi
0.1610 1.1916 7.3019 H
2.0617 3.5748 2.3030 H
2.3838 1.1916 7.6948 H
4.2845 3.5748 2.6959 H
1.0050 1.1916 6.7459 O
1.2177 3.5748 1.7470 O
3.2278 1.1916 8.2508 O
3.4404 3.5748 3.2519 O
```

Entry 7:
The following is a DFT calculation (PBE-GGA) of Ce4FeHg after structural relaxation.

Results
ΔH_f (0 K) in eV/atom: -0.009
DOS(E_F) in states/eV/f.u.: 11.45
Calculated density in g cm⁻³: 9.28
Uncorrected energy in eV/cell: -65.10

POSCAR file:
```
Ce4FeHg
1.0
3.4303 -7.7397 0.0000
3.4303 7.7397 0.0000
-1.9760 0.0000 5.5066
Ce Fe Hg
8 2 2
Cartesian
0.6085 4.0407 4.3721 Ce
0.1273 1.2141 3.6529 Ce
1.1153 -1.2141 0.8996 Ce
3.2881 4.0407 3.8879 Ce
1.5965 -4.0407 1.6188 Ce
3.7693 1.2141 4.6071 Ce
4.7573 -1.2141 1.8537 Ce
4.2761 -4.0407 1.1346 Ce
1.9483 6.5440 4.1300 Fe
2.9363 -6.5440 1.3767 Fe
2.9363 1.4053 1.3767 Hg
1.9483 -1.4053 4.1300 Hg
```

Entry 8:
The following is a DFT calculation (PBE-GGA) of Pa2TaGe after structural relaxation.

Results
ΔH_f (0 K) in eV/atom: -0.145
E above lowest polymorph in eV/f.u.: 0.00
DOS(E_F) in states/eV/f.u.: 6.21
Calculated density in g cm⁻³: 14.19
Uncorrected energy in eV/cell: -36.04

POSCAR file:
```
Pa2TaGe
1.0
4.3054 0.0000 0.0000
0.0000 4.3054 0.0000
0.0000 0.0000 4.5187
Pa Ta Ge
2 1 1
Cartesian
0.0000 2.1527 0.0000 Pa
2.1527 0.0000 0.0000 Pa
0.0000 0.0000 2.2594 Ta
2.1527 2.1527 2.2594 Ge
```